Here is a geometry-optimized Cd2SbRu structure from Alexandria via LeMat-Bulk. Energies are from GGA-PBE.

The density of states at the Fermi level comes out at 3.493 states/eV/cell. Its formation energy (no corrections) is 0.295 eV per atom.

It has space group P2/m (No. 10), with a = 3.190 Å, b = 5.439 Å, c = 4.691 Å, α = 90.00°, β = 93.75° and γ = 90.00°. The distinct sites, in fractional coordinates, are Cd at (0.249, 0.000, 0.257), Sb at (0.000, 0.500, 0.000) and Ru at (0.500, 0.500, 0.500).



Here is a geometry-optimized CdSb4Ru2 structure from Alexandria via LeMat-Bulk. Energies are from GGA-PBE.

The density of states at the Fermi level comes out at 17.184 states/eV/cell. Its formation energy (no corrections) is 0.774 eV per atom.

It has space group I4/mmm (No. 139), with a = 5.342 Å, b = 5.342 Å, c = 13.605 Å, α = 90.00°, β = 90.00° and γ = 90.00°. The distinct sites, in fractional coordinates, are Cd at (0.000, 0.000, 0.000), Sb at (0.000, 0.000, 0.227), Sb at (0.000, 0.500, 0.000) and Ru at (0.000, 0.000, 0.409).



Here is a geometry-optimized CdSb2Ru structure from Alexandria via LeMat-Bulk. Energies are from GGA-PBE.

The density of states at the Fermi level comes out at 4.504 states/eV/cell. Its formation energy (no corrections) is 0.067 eV per atom.

It has space group Cm (No. 8), with a = 10.149 Å, b = 3.195 Å, c = 6.392 Å, α = 90.00°, β = 111.83° and γ = 90.00°. The distinct sites, in fractional coordinates, are Cd at (0.000, 0.000, 0.000), Sb at (0.155, 0.000, 0.625), Sb at (0.341, 0.000, 0.339) and Ru at (0.227, 0.500, 0.983).



Here is a geometry-optimized CdSb2Ru structure from Alexandria via LeMat-Bulk. Energies are from GGA-PBE.

The density of states at the Fermi level comes out at 0.908 states/eV/cell. Its formation energy (no corrections) is 0.071 eV per atom.

It has space group P4mm (No. 99), with a = 3.204 Å, b = 3.204 Å, c = 8.655 Å, α = 90.00°, β = 90.00° and γ = 90.00°. The distinct sites, in fractional coordinates, are Cd at (0.000, 0.000, 0.000), Sb at (0.000, 0.000, 0.381), Sb at (0.500, 0.500, 0.717) and Ru at (0.500, 0.500, 0.213).



Here is a geometry-optimized Cd2SbRu structure from Alexandria via LeMat-Bulk. Energies are from GGA-PBE.

The density of states at the Fermi level comes out at 5.751 states/eV/cell. Its formation energy (no corrections) is 0.256 eV per atom.

It has space group I4_1/amd (No. 141, origin choice 2), with a = 10.433 Å, b = 10.433 Å, c = 4.940 Å, α = 90.00°, β = 90.00° and γ = 90.00°. The distinct sites, in fractional coordinates, are Cd at (0.000, 0.000, 0.000), Sb at (0.000, 0.250, 0.375) and Ru at (0.000, 0.250, 0.875).



Here is a geometry-optimized CdSb2Ru structure from Alexandria via LeMat-Bulk. Energies are from GGA-PBE.

The density of states at the Fermi level comes out at 2.708 states/eV/cell. Its formation energy (no corrections) is 0.017 eV per atom.

It has space group P2/m (No. 10), with a = 3.231 Å, b = 3.239 Å, c = 8.538 Å, α = 90.00°, β = 90.44° and γ = 90.00°. The distinct sites, in fractional coordinates, are Cd at (0.000, 0.000, 0.000), Sb at (0.496, 0.500, 0.305) and Ru at (0.000, 0.000, 0.500).



Here is a geometry-optimized CdSb2Ru structure from Alexandria via LeMat-Bulk. Energies are from GGA-PBE.

The density of states at the Fermi level comes out at 6.520 states/eV/cell. Its formation energy (no corrections) is 0.204 eV per atom.

It has space group R3m (No. 160, hexagonal axes), with a = 3.3314 Å, b = 3.3314 Å, c = 28.1671 Å, α = 90.00°, β = 90.00° and γ = 120.00°. The distinct sites, in fractional coordinates, are Cd at (0.0000, 0.0000, 0.0000), Sb at (0.0000, 0.0000, 0.5290), Sb at (0.0000, 0.0000, 0.7634) and Ru at (0.0000, 0.0000, 0.2581).



Here is a geometry-optimized CdSb2Ru structure from Alexandria via LeMat-Bulk. Energies are from GGA-PBE.

The density of states at the Fermi level comes out at 2.928 states/eV/cell. Its formation energy (no corrections) is 0.228 eV per atom.

It has space group Pm (No. 6), with a = 3.662 Å, b = 4.632 Å, c = 5.395 Å, α = 90.00°, β = 109.60° and γ = 90.00°. The distinct sites, in fractional coordinates, are Cd at (0.000, 0.000, 0.000), Sb at (0.446, 0.500, 0.890), Sb at (0.724, 0.000, 0.453) and Ru at (0.161, 0.500, 0.323).